No. 1
A relaxed NaSmPt4 crystal. Source: the Alexandria database, functional PBE. Values from VASP.

```
&SYSTEM
  ibrav = 0, nat = 6, ntyp = 3
/
ATOMIC_SPECIES
Na 22.99 Na.upf
Sm 150.36 Sm.upf
Pt 195.08 Pt.upf
CELL_PARAMETERS angstrom
-2.552 -2.388 4.144
-1.519 -5.190 -0.381
2.541 -3.790 2.927
ATOMIC_POSITIONS crystal
Na 0.000 0.000 0.000
Sm 0.250 0.250 0.250
Pt 0.625 0.625 0.124
Pt 0.625 0.124 0.625
Pt 0.625 0.625 0.625
Pt 0.124 0.625 0.625
```

Values from the calculation:
The formation energy comes out at -0.8209 eV per atom. As for the calculated volume: 18.776 Å³ per atom. The total DFT energy (no corrections) is -35.127 eV for the cell shown.

***

No. 2
A relaxed Zr2FeSi crystal. Source: the Alexandria database, functional PBE. Values from VASP.

```
&SYSTEM
  ibrav = 0, nat = 4, ntyp = 3
/
ATOMIC_SPECIES
Si 28.09 Si.upf
Fe 55.84 Fe.upf
Zr 91.22 Zr.upf
CELL_PARAMETERS angstrom
3.799 0.000 0.000
0.000 3.647 -0.001
0.000 1.825 5.010
ATOMIC_POSITIONS crystal
Si 0.500 0.552 0.771
Fe 0.000 0.706 0.464
Zr 0.000 0.978 0.919
Zr 0.500 0.265 0.346
```

Values from the calculation:
As for the calculated volume: 17.354 Å³ per atom. The calculation puts the energy relative to the elements, uncorrected at -563.2 meV/atom. The total DFT energy (no corrections) is -33.235 eV for the cell shown.

***

No. 3
A relaxed RbPa4SnN8 crystal. Source: the Alexandria database, functional PBE. Values from VASP.

```
&SYSTEM
  ibrav = 0, nat = 14, ntyp = 4
/
ATOMIC_SPECIES
Rb 85.47 Rb.upf
Pa 231.04 Pa.upf
Sn 118.71 Sn.upf
N 14.01 N.upf
CELL_PARAMETERS angstrom
7.243 0.000 0.000
3.622 6.273 0.000
3.622 2.091 5.519
ATOMIC_POSITIONS crystal
Rb 0.387 0.387 0.840
Pa 0.619 0.619 0.144
Pa 0.006 0.491 0.497
Pa 0.491 0.006 0.497
Pa 0.006 0.006 0.497
Sn 0.010 0.010 0.969
N 0.229 0.833 0.709
N 0.833 0.229 0.709
N 0.229 0.229 0.709
N 0.226 0.226 0.321
N 0.730 0.246 0.295
N 0.246 0.730 0.295
N 0.730 0.730 0.295
N 0.760 0.760 0.721
```

Values from the calculation:
As for the calculated volume: 17.912 Å³ per atom. The calculation puts the energy relative to the elements, uncorrected at -987.3 meV/atom. The total DFT energy (no corrections) is -123.379 eV for the cell shown.